(i)
Compound: Er3GaH
Source: the Alexandria database
Functional: GGA-PBE
Structure: optimized geometry

Cell lengths 7.352, 3.506, 8.498 Å; angles 90.00, 91.44, 90.00 degrees
Space group P2_1/m (No. 11)
Inequivalent atoms, fractional coordinates:
Er 0.070 0.250 0.334 (multiplicity 2)
Er 0.251 0.250 0.956 (multiplicity 2)
Er 0.357 0.750 0.612 (multiplicity 2)
Ga 0.382 0.750 0.228 (multiplicity 2)
H 0.123 0.250 0.596 (multiplicity 2)

Values from the calculation:
M_tot, μB/cell: 0.0

(ii)
Compound: Er3GaH
Source: the Alexandria database
Functional: GGA-PBE
Structure: optimized geometry

Cell lengths 4.693, 4.693, 4.693 Å; angles 90.00, 90.00, 90.00 degrees
Space group Pm-3m (No. 221)
Inequivalent atoms, fractional coordinates:
Er 0.000 0.000 0.500 (multiplicity 3)
Ga 0.500 0.500 0.500 (multiplicity 1)
H 0.000 0.000 0.000 (multiplicity 1)

Values from the calculation:
M_tot, μB/cell: 1.3

The data favor (i); the next most stable structure lies 18 meV/atom above it.

(i)
Compound: ErHfGa4
Source: the Alexandria database
Functional: GGA-PBE
Structure: optimized geometry

Cell lengths 7.813, 4.947, 7.814 Å; angles 90.00, 113.77, 90.00 degrees
Space group C2/m (No. 12)
Inequivalent atoms, fractional coordinates:
Er 0.000 0.000 0.000 (multiplicity 2)
Hf 0.000 0.500 0.500 (multiplicity 2)
Ga 0.100 0.500 0.881 (multiplicity 4)
Ga 0.114 0.000 0.406 (multiplicity 4)

Values from the calculation:
M_tot, μB/cell: 0.0

(ii)
Compound: ErHfGa4
Source: the Alexandria database
Functional: GGA-PBE
Structure: optimized geometry

Cell lengths 7.576, 7.576, 7.576 Å; angles 90.00, 90.00, 90.00 degrees
Space group F-43m (No. 216)
Inequivalent atoms, fractional coordinates:
Er 0.000 0.000 0.000 (multiplicity 4)
Hf 0.250 0.250 0.750 (multiplicity 4)
Ga 0.125 0.125 0.375 (multiplicity 16)

Values from the calculation:
M_tot, μB/cell: 0.0

The data favor (ii); the next most stable structure lies 388 meV/atom above it.